Material: Rb2NaReS
Method: DFT, PBE
State: optimized geometry

extended XYZ file:
```
5
Lattice="7.070 0.000 0.000 0.000 7.070 0.000 0.000 0.000 4.411" Properties=species:S:1:pos:R:3 pbc="T T T"
Rb 0.000 3.535 0.000
Rb 3.535 0.000 0.000
Na 0.000 0.000 2.205
Re 3.535 3.535 0.000
S 3.535 3.535 2.205
```

Computed properties:
crystal system: tetragonal
DOS at the Fermi energy: 3.9 states/eV/cell
SG: P4/mmm (123)
formation energy (no corrections): 0.435 eV per atom


Material: Rb2NaReS4
Method: DFT, PBE
State: optimized geometry

extended XYZ file:
```
8
Lattice="-3.874 3.874 4.270 3.874 -3.874 4.270 3.874 3.874 -4.270" Properties=species:S:1:pos:R:3 pbc="T T T"
Rb 0.000 0.000 0.000
Rb 0.000 3.874 2.135
Na 0.000 0.000 4.270
Re 3.874 0.000 2.135
S 2.373 -1.100 3.371
S 2.774 1.501 0.899
S 1.501 4.974 -0.899
S 1.100 2.373 5.168
```

Computed properties:
crystal system: tetragonal
DOS at the Fermi energy: 1.0 states/eV/cell
SG: I-4 (82)
formation energy (no corrections): -0.782 eV per atom


Material: RbNaTaRe2
Method: DFT, PBE
State: optimized geometry

extended XYZ file:
```
5
Lattice="4.852 0.000 0.000 0.000 4.852 0.000 0.000 0.000 6.020" Properties=species:S:1:pos:R:3 pbc="T T T"
Rb 0.000 0.000 0.000
Na 2.426 2.426 0.000
Ta 2.426 2.426 3.010
Re 0.000 2.426 3.010
Re 2.426 0.000 3.010
```

Computed properties:
crystal system: tetragonal
DOS at the Fermi energy: 4.1 states/eV/cell
SG: P4/mmm (123)
formation energy from the elements: 1726 meV/atom


Material: RbNaReTc2
Method: DFT, PBE
State: optimized geometry

extended XYZ file:
```
5
Lattice="4.916 0.000 0.000 0.000 4.916 0.000 0.000 0.000 4.958" Properties=species:S:1:pos:R:3 pbc="T T T"
Rb 0.000 0.000 0.000
Na 2.458 2.458 2.479
Re 2.458 2.458 0.000
Tc 0.000 2.458 2.479
Tc 2.458 0.000 2.479
```

Computed properties:
crystal system: tetragonal
DOS at the Fermi energy: 6.0 states/eV/cell
SG: P4/mmm (123)
formation energy from the elements: 2956 meV/atom


Material: RbNaY2Re
Method: DFT, PBE
State: optimized geometry

extended XYZ file:
```
5
Lattice="5.378 0.000 0.000 0.000 5.378 0.000 0.000 0.000 6.810" Properties=species:S:1:pos:R:3 pbc="T T T"
Rb 0.000 0.000 0.000
Na 2.689 2.689 0.000
Y 0.000 2.689 3.405
Y 2.689 0.000 3.405
Re 0.000 0.000 3.405
```

Computed properties:
crystal system: tetragonal
DOS at the Fermi energy: 4.7 states/eV/cell
SG: P4/mmm (123)
formation energy from the elements: 712 meV/atom


Material: Rb3NaRh
Method: DFT, PBE
State: optimized geometry

extended XYZ file:
```
5
Lattice="6.425 0.000 0.000 0.000 6.425 0.000 0.000 0.000 6.425" Properties=species:S:1:pos:R:3 pbc="T T T"
Rb 0.000 0.000 3.213
Rb 0.000 3.213 0.000
Rb 3.213 0.000 0.000
Na 3.213 3.213 3.213
Rh 0.000 0.000 0.000
```

Computed properties:
crystal system: cubic
DOS at the Fermi energy: 13.7 states/eV/cell
SG: Pm-3m (221)
formation energy from the elements: 501 meV/atom


Material: Rb2Na2Rh
Method: DFT, PBE
State: optimized geometry

extended XYZ file:
```
10
Lattice="7.788 0.000 0.000 0.000 7.788 0.000 0.000 0.000 6.193" Properties=species:S:1:pos:R:3 pbc="T T T"
Rb 1.496 2.398 0.000
Rb 2.398 6.292 0.000
Rb 5.390 1.496 0.000
Rb 6.292 5.390 0.000
Na 1.262 5.156 3.096
Na 2.632 1.262 3.096
Na 5.156 6.526 3.096
Na 6.526 2.632 3.096
Rh 0.000 0.000 3.096
Rh 3.894 3.894 3.096
```

Computed properties:
crystal system: tetragonal
DOS at the Fermi energy: 7.2 states/eV/cell
SG: P4/mbm (127)
formation energy from the elements: 458 meV/atom
E above lowest polymorph: 0 meV/atom


Material: Rb2Na2Rh
Method: DFT, PBE
State: optimized geometry

extended XYZ file:
```
5
Lattice="-2.597 2.597 7.484 2.597 -2.597 7.484 2.597 2.597 -7.484" Properties=species:S:1:pos:R:3 pbc="T T T"
Rb 2.597 0.000 3.742
Rb 0.000 2.597 3.742
Na 0.000 0.000 1.238
Na 0.000 0.000 13.731
Rh 0.000 0.000 7.484
```

Computed properties:
crystal system: tetragonal
DOS at the Fermi energy: 4.3 states/eV/cell
SG: I4/mmm (139)
formation energy from the elements: 930 meV/atom
E above lowest polymorph: 472 meV/atom


Material: RbNa2SbRh
Method: DFT, PBE
State: optimized geometry

extended XYZ file:
```
5
Lattice="5.635 0.000 0.000 0.000 5.635 0.000 0.000 0.000 5.017" Properties=species:S:1:pos:R:3 pbc="T T T"
Rb 0.000 0.000 0.000
Na 0.000 2.817 2.509
Na 2.817 0.000 2.509
Sb 2.817 2.817 0.000
Rh 2.817 2.817 2.509
```

Computed properties:
crystal system: tetragonal
DOS at the Fermi energy: 1.8 states/eV/cell
SG: P4/mmm (123)
formation energy (no corrections): -0.174 eV per atom


Material: RbNaRhSe2
Method: DFT, PBE
State: optimized geometry

extended XYZ file:
```
5
Lattice="5.369 0.000 0.000 0.000 5.369 0.000 0.000 0.000 5.064" Properties=species:S:1:pos:R:3 pbc="T T T"
Rb 0.000 0.000 0.000
Na 2.684 2.684 2.532
Rh 2.684 2.684 0.000
Se 0.000 2.684 2.532
Se 2.684 0.000 2.532
```

Computed properties:
crystal system: tetragonal
DOS at the Fermi energy: 7.5 states/eV/cell
SG: P4/mmm (123)
formation energy (no corrections): 0.418 eV per atom


Material: RbNa2SnRh
Method: DFT, PBE
State: optimized geometry

extended XYZ file:
```
5
Lattice="5.666 0.000 0.000 0.000 5.666 0.000 0.000 0.000 5.068" Properties=species:S:1:pos:R:3 pbc="T T T"
Rb 0.000 0.000 0.000
Na 0.000 2.833 2.534
Na 2.833 0.000 2.534
Sn 2.833 2.833 0.000
Rh 2.833 2.833 2.534
```

Computed properties:
crystal system: tetragonal
DOS at the Fermi energy: 2.7 states/eV/cell
SG: P4/mmm (123)
formation energy from the elements: -44 meV/atom


Material: RbNaSn2Rh
Method: DFT, PBE
State: optimized geometry

extended XYZ file:
```
5
Lattice="5.152 0.000 0.000 0.000 5.152 0.000 0.000 0.000 5.736" Properties=species:S:1:pos:R:3 pbc="T T T"
Rb 0.000 0.000 0.000
Na 2.576 2.576 0.000
Sn 0.000 2.576 2.868
Sn 2.576 0.000 2.868
Rh 2.576 2.576 2.868
```

Computed properties:
crystal system: tetragonal
DOS at the Fermi energy: 3.9 states/eV/cell
SG: P4/mmm (123)
formation energy from the elements: -170 meV/atom